# Pm3MnTl3S8

Crystalline Pm3MnTl3S8 at its relaxed geometry (PBE, Alexandria). Values from VASP.

The structure in Quantum ESPRESSO input format:
```
&SYSTEM
  ibrav = 0, nat = 15, ntyp = 4
/
ATOMIC_SPECIES
Pm 145.00 Pm.upf
Mn 54.94 Mn.upf
Tl 204.38 Tl.upf
S 32.06 S.upf
ATOMIC_POSITIONS crystal
Pm 0.0000 0.5000 0.5000
Pm 0.5000 0.0000 0.5000
Pm 0.5000 0.5000 0.0000
Mn 0.0000 0.0000 0.0000
Tl 0.0000 0.0000 0.5000
Tl 0.0000 0.5000 0.0000
Tl 0.5000 0.0000 0.0000
S 0.2064 0.2064 0.7706
S 0.2064 0.7706 0.2064
S 0.2294 0.7936 0.7936
S 0.2647 0.2647 0.2647
S 0.7353 0.7353 0.7353
S 0.7706 0.2064 0.2064
S 0.7936 0.2294 0.7936
S 0.7936 0.7936 0.2294
CELL_PARAMETERS angstrom
3.9978 2.3081 7.5942
-3.9978 2.3081 7.5942
0.0000 -4.6163 7.5942
```

Computed properties:
- E_form (uncorrected): -1.1924 eV/atom
- DOS at the Fermi energy: 0.037 states/eV/atom
- Symmetry: No. 166

# Pm2TmMnS6

Crystalline Pm2TmMnS6 at its relaxed geometry (PBE, Alexandria). Values from VASP.

The structure in Quantum ESPRESSO input format:
```
&SYSTEM
  ibrav = 0, nat = 20, ntyp = 4
/
ATOMIC_SPECIES
Pm 145.00 Pm.upf
Tm 168.93 Tm.upf
Mn 54.94 Mn.upf
S 32.06 S.upf
ATOMIC_POSITIONS crystal
Pm 0.2068 0.1048 0.2474
Pm 0.2068 0.3952 0.7474
Pm 0.7932 0.6048 0.2526
Pm 0.7932 0.8952 0.7526
Tm 0.5000 0.0000 0.0000
Tm 0.5000 0.5000 0.5000
Mn 0.0000 0.0000 0.5000
Mn 0.0000 0.5000 0.0000
S 0.1015 0.1846 0.9327
S 0.1015 0.3154 0.4327
S 0.2516 0.6723 0.9421
S 0.2516 0.8277 0.4421
S 0.3658 0.0378 0.7324
S 0.3658 0.4622 0.2324
S 0.6342 0.5378 0.7676
S 0.6342 0.9622 0.2676
S 0.7484 0.1723 0.5579
S 0.7484 0.3277 0.0579
S 0.8985 0.6846 0.5673
S 0.8985 0.8154 0.0673
CELL_PARAMETERS angstrom
6.4622 0.0000 0.0000
0.0000 7.2490 0.0000
-6.3211 0.0000 9.3817
```

Computed properties:
- E_form (uncorrected): -1.6594 eV/atom
- DOS at the Fermi energy: 0.097 states/eV/atom
- Symmetry: No. 14

# Pm2TmMnS5

Crystalline Pm2TmMnS5 at its relaxed geometry (PBE, Alexandria). Values from VASP.

The structure in Quantum ESPRESSO input format:
```
&SYSTEM
  ibrav = 0, nat = 18, ntyp = 4
/
ATOMIC_SPECIES
Pm 145.00 Pm.upf
Tm 168.93 Tm.upf
Mn 54.94 Mn.upf
S 32.06 S.upf
ATOMIC_POSITIONS crystal
Pm 0.1184 0.8816 0.5000
Pm 0.1220 0.8780 0.1501
Pm 0.8780 0.1220 0.6501
Pm 0.8816 0.1184 0.0000
Tm 0.1853 0.8147 0.8321
Tm 0.8147 0.1853 0.3321
Mn 0.4487 0.5513 0.2366
Mn 0.5513 0.4487 0.7366
S 0.0193 0.9807 0.8333
S 0.3005 0.6995 0.4903
S 0.3104 0.6896 0.1697
S 0.3472 0.6528 0.8243
S 0.4935 0.5065 0.5626
S 0.5065 0.4935 0.0626
S 0.6528 0.3472 0.3243
S 0.6896 0.3104 0.6697
S 0.6995 0.3005 0.9903
S 0.9807 0.0193 0.3333
CELL_PARAMETERS angstrom
1.9472 -8.2248 0.0000
1.9472 8.2248 0.0000
0.0000 0.0000 11.8981
```

Computed properties:
- E_form (uncorrected): -1.7180 eV/atom
- DOS at the Fermi energy: 0.311 states/eV/atom
- Symmetry: No. 36

# Pm2MnVS6

Crystalline Pm2MnVS6 at its relaxed geometry (PBE, Alexandria). Values from VASP.

The structure in Quantum ESPRESSO input format:
```
&SYSTEM
  ibrav = 0, nat = 20, ntyp = 4
/
ATOMIC_SPECIES
Pm 145.00 Pm.upf
Mn 54.94 Mn.upf
V 50.94 V.upf
S 32.06 S.upf
ATOMIC_POSITIONS crystal
Pm 0.2087 0.1053 0.2508
Pm 0.2087 0.3947 0.7508
Pm 0.7913 0.6053 0.2492
Pm 0.7913 0.8947 0.7492
Mn 0.5000 0.0000 0.0000
Mn 0.5000 0.5000 0.5000
V 0.0000 0.0000 0.5000
V 0.0000 0.5000 0.0000
S 0.1214 0.1891 0.9471
S 0.1214 0.3109 0.4471
S 0.2656 0.6824 0.9467
S 0.2656 0.8176 0.4467
S 0.3685 0.0230 0.7505
S 0.3685 0.4770 0.2505
S 0.6315 0.5230 0.7495
S 0.6315 0.9770 0.2495
S 0.7344 0.1824 0.5533
S 0.7344 0.3176 0.0533
S 0.8786 0.6891 0.5529
S 0.8786 0.8109 0.0529
CELL_PARAMETERS angstrom
6.3042 0.0000 0.0000
0.0000 7.0191 0.0000
-6.2832 0.0000 9.0755
```

Computed properties:
- E_form (uncorrected): -1.3838 eV/atom
- DOS at the Fermi energy: 0.541 states/eV/atom
- Symmetry: No. 14

# PmMnSb3

Crystalline PmMnSb3 at its relaxed geometry (PBE, Alexandria). Values from VASP.

The structure in Quantum ESPRESSO input format:
```
&SYSTEM
  ibrav = 0, nat = 20, ntyp = 3
/
ATOMIC_SPECIES
Pm 145.00 Pm.upf
Mn 54.94 Mn.upf
Sb 121.76 Sb.upf
ATOMIC_POSITIONS crystal
Pm 0.1901 0.0035 0.2500
Pm 0.1901 0.4965 0.7500
Pm 0.8099 0.5035 0.2500
Pm 0.8099 0.9965 0.7500
Mn 0.4074 0.7500 0.0000
Mn 0.4074 0.7500 0.5000
Mn 0.5926 0.2500 0.0000
Mn 0.5926 0.2500 0.5000
Sb 0.0019 0.7500 0.0000
Sb 0.0019 0.7500 0.5000
Sb 0.2773 0.5020 0.2500
Sb 0.2773 0.9980 0.7500
Sb 0.4363 0.1031 0.2500
Sb 0.4363 0.3969 0.7500
Sb 0.5637 0.6031 0.2500
Sb 0.5637 0.8969 0.7500
Sb 0.7227 0.0020 0.2500
Sb 0.7227 0.4980 0.7500
Sb 0.9981 0.2500 0.0000
Sb 0.9981 0.2500 0.5000
CELL_PARAMETERS angstrom
13.0061 0.0000 0.0000
0.0000 6.2543 0.0000
0.0000 0.0000 6.0695
```

Computed properties:
- E_form (uncorrected): -0.5082 eV/atom
- DOS at the Fermi energy: 0.445 states/eV/atom
- Symmetry: No. 57

# Pm4MnSb2

Crystalline Pm4MnSb2 at its relaxed geometry (PBE, Alexandria). Values from VASP.

The structure in Quantum ESPRESSO input format:
```
&SYSTEM
  ibrav = 0, nat = 7, ntyp = 3
/
ATOMIC_SPECIES
Pm 145.00 Pm.upf
Mn 54.94 Mn.upf
Sb 121.76 Sb.upf
ATOMIC_POSITIONS crystal
Pm 0.0000 0.5000 0.5000
Pm 0.1712 0.1712 0.0000
Pm 0.5000 0.0000 0.5000
Pm 0.8288 0.8288 0.0000
Mn 0.0000 0.0000 0.0000
Sb 0.3598 0.3598 0.0000
Sb 0.6402 0.6402 0.0000
CELL_PARAMETERS angstrom
-2.4712 2.4712 8.4031
2.4712 -2.4712 8.4031
2.4712 2.4712 -8.4031
```

Computed properties:
- E_form (uncorrected): -0.4529 eV/atom
- DOS at the Fermi energy: 0.615 states/eV/atom
- Symmetry: No. 139